Here is a geometry-optimized Co2PHRh structure from Alexandria via LeMat-Bulk. Energies are from PBE-GGA.

a b c (Å): 4.089 4.379 4.089
angles (deg): 90.00 90.00 90.00
Each line ends with the local moment (μB).
Fractional positions:
Rh (0.000, 0.500, 0.000)  -0.08
H (0.500, 0.500, 0.500)  -0.01
Co (0.500, 0.000, 0.000)  0.66
Co (0.000, 0.000, 0.500)  0.81
P (0.000, 0.000, 0.000)  -0.03

The calculated total energy comes out at -5.23 eV per atom. Its space group is P4/mmm, No. 123. The size of the total moment comes out at 0.25 μB per atom. The value obtained for the calculated density is 5.73 Mg/m³.